Entry 1:
## InSnBiBr6 (PBE-GGA)

Data for a geometry-optimized InSnBiBr6 structure.

Values from the calculation:
Electronic total energy: -3.0322 eV/atom
Formation energy (no corrections): -0.74 eV/atom
Calculated volume: 39.805 Å³/atom
ρ: 4.27 Mg/m³

a = 7.5758 Å, b = 7.5758 Å, c = 14.4151 Å
α = 90.00°, β = 90.00°, γ = 120.00°
Space group P-31c (No. 163)
Asymmetric unit:
In: 0.0000 0.0000 0.0000 x2
Sn: 0.3333 0.6667 0.2500 x2
Bi: 0.3333 0.6667 0.7500 x2
Br: 0.0119 0.3676 0.6323 x12

---

Entry 2:
## TlIn2BiBr6 (PBE-GGA)

Data for a geometry-optimized TlIn2BiBr6 structure.

Values from the calculation:
Electronic total energy: -2.9160 eV/atom
Formation energy (no corrections): -0.74 eV/atom
Calculated volume: 38.152 Å³/atom
ρ: 4.89 Mg/m³

a = 7.677 Å, b = 8.744 Å, c = 13.335 Å
α = 90.00°, β = 121.52°, γ = 90.00°
Space group P2_1/c (No. 14)
Asymmetric unit:
Tl: 0.000 0.000 0.000 x2
In: 0.200 0.077 0.731 x4
Bi: 0.500 0.000 0.500 x2
Br: 0.140 0.165 0.456 x4
Br: 0.260 0.721 0.415 x4
Br: 0.410 0.072 0.266 x4

---

Entry 3:
## TlInBi2Br (PBE-GGA)

Data for a geometry-optimized TlInBi2Br structure.

Values from the calculation:
Electronic total energy: -2.5009 eV/atom
Formation energy (no corrections): 0.41 eV/atom
Calculated volume: 40.245 Å³/atom
ρ: 6.74 Mg/m³

a = 5.794 Å, b = 5.794 Å, c = 5.993 Å
α = 90.00°, β = 90.00°, γ = 90.00°
Space group P4/mmm (No. 123)
Asymmetric unit:
Tl: 0.000 0.000 0.000 x1
In: 0.500 0.500 0.000 x1
Bi: 0.000 0.500 0.500 x2
Br: 0.000 0.000 0.500 x1

---

Entry 4:
## ZrInBiBr2 (PBE-GGA)

Data for a geometry-optimized ZrInBiBr2 structure.

Values from the calculation:
Electronic total energy: -3.3121 eV/atom
Formation energy (no corrections): 0.39 eV/atom
Calculated volume: 34.069 Å³/atom
ρ: 5.60 Mg/m³

a = 5.243 Å, b = 5.243 Å, c = 6.197 Å
α = 90.00°, β = 90.00°, γ = 90.00°
Space group P4/mmm (No. 123)
Asymmetric unit:
Zr: 0.000 0.000 0.000 x1
In: 0.500 0.500 0.500 x1
Bi: 0.500 0.500 0.000 x1
Br: 0.000 0.500 0.500 x2

---

Entry 5:
## BiIr3Br (PBE-GGA)

Data for a geometry-optimized BiIr3Br structure.

Values from the calculation:
Electronic total energy: -4.8258 eV/atom
Formation energy (no corrections): 1.60 eV/atom
Calculated volume: 20.930 Å³/atom
ρ: 13.73 Mg/m³

a = 4.712 Å, b = 4.712 Å, c = 4.712 Å
α = 90.00°, β = 90.00°, γ = 90.00°
Space group Pm-3m (No. 221)
Asymmetric unit:
Bi: 0.000 0.000 0.000 x1
Ir: 0.000 0.500 0.500 x3
Br: 0.500 0.500 0.500 x1

---

Entry 6:
## Bi3IrBr (PBE-GGA)

Data for a geometry-optimized Bi3IrBr structure.

Values from the calculation:
Electronic total energy: -4.5553 eV/atom
Formation energy (no corrections): -0.12 eV/atom
Calculated volume: 30.250 Å³/atom
ρ: 9.87 Mg/m³

a = 11.755 Å, b = 15.879 Å, c = 6.556 Å
α = 90.00°, β = 98.64°, γ = 90.00°
Space group C2/c (No. 15)
Asymmetric unit:
Bi: 0.078 0.203 0.019 x8
Bi: 0.123 0.342 0.638 x8
Bi: 0.166 0.425 0.102 x8
Ir: 0.000 0.328 0.250 x4
Ir: 0.000 0.483 0.750 x4
Br: 0.134 0.088 0.469 x8

---

Looking at total magnetic moment for the records above, in order, we have 0.00, 0.00, 0.00, 1.56, 0.00, 0.00 μB per formula unit.